1.
Material: PmLuMgPa
Method: DFT, GGA-PBE
State: relaxed

Structure (extended XYZ):
```
4
Lattice="5.385 0.000 0.000 2.693 4.664 0.000 2.693 1.555 4.397" Properties=species:S:1:pos:R:3 pbc="T T T"
Lu 8.078 4.664 3.298
Pm 2.693 1.555 1.099
Mg 5.385 3.109 2.199
Pa 0.000 0.000 0.000
```

ΔE_f	1.39	eV per formula unit
E_tot	-4.742	eV per atom

2.
Material: GaAg3
Method: DFT, GGA-PBE
State: relaxed

Structure (extended XYZ):
```
8
Lattice="-1.999 5.488 -0.442 -1.124 -3.147 4.811 3.972 1.607 1.979" Properties=species:S:1:pos:R:3 pbc="T T T"
Ga -0.714 3.011 1.803
Ga 1.564 0.936 4.544
Ag 2.120 2.519 2.143
Ag -0.278 -1.297 4.424
Ag 0.280 0.266 2.035
Ag 0.569 3.681 4.312
Ag 1.127 5.244 1.923
Ag -1.270 1.428 4.204
```

ΔE_f	0.04	eV per formula unit
E_tot	-2.884	eV per atom